(1)
# SrPm2Nd

SrPm2Nd after structural relaxation (PBE, the Alexandria database).

As for the density of states at the Fermi level: 7.885 states/eV per cell. The value obtained for the volume is 38.02 A^3/atom. As for the energy of formation from the pure elements: 21 kJ/mol of atoms. The calculation puts the energy above the most stable polymorph in this dataset at 129.6 meV per atom. As for the calculated total energy: -3.77 eV/atom. As for the total moment: 1.4 μB per formula unit.

Cell lengths 5.9914, 5.9914, 5.9914 Å; angles 60.00, 60.00, 60.00 degrees
Atoms (fractional coordinates):
Pm1 0.2500 0.2500 0.2500
Pm2 0.7500 0.7500 0.7500
Nd1 0.0000 0.0000 0.0000
Sr1 0.5000 0.5000 0.5000

(2)
# SrPm6Nd5

SrPm6Nd5 after structural relaxation (PBE, the Alexandria database).

As for the density of states at the Fermi level: 19.043 states/eV per cell. The value obtained for the volume is 35.91 A^3/atom. As for the energy of formation from the pure elements: 5 kJ/mol of atoms. As for the calculated total energy: -4.45 eV/atom. As for the total moment: 0.0 μB per formula unit.

Cell lengths 6.4101, 8.2820, 8.2820 Å; angles 84.41, 97.42, 97.42 degrees
Atoms (fractional coordinates):
Pm1 0.7467 0.9154 0.5734
Pm2 0.2533 0.4266 0.0846
Pm3 0.7467 0.5734 0.9154
Pm4 0.7397 0.2533 0.2533
Pm5 0.2603 0.7467 0.7467
Pm6 0.2533 0.0846 0.4266
Nd1 0.5000 0.1733 0.8267
Nd2 0.5000 0.8267 0.1733
Nd3 0.5000 0.5000 0.5000
Nd4 0.0000 0.6603 0.3397
Nd5 0.0000 0.3397 0.6603
Sr1 0.0000 0.0000 0.0000

(3)
# SrPm2Nd

SrPm2Nd after structural relaxation (PBE, the Alexandria database).

As for the density of states at the Fermi level: 6.262 states/eV per cell. The value obtained for the volume is 38.34 A^3/atom. As for the energy of formation from the pure elements: 9 kJ/mol of atoms. The calculation puts the energy above the most stable polymorph in this dataset at 0.0 meV per atom. As for the calculated total energy: -3.90 eV/atom. As for the total moment: 0.0 μB per formula unit.

Cell lengths 3.7568, 3.7568, 10.8649 Å; angles 90.00, 90.00, 90.00 degrees
Atoms (fractional coordinates):
Sr1 0.5000 0.5000 0.5000
Pm1 0.0000 0.0000 0.2254
Pm2 0.0000 0.0000 0.7746
Nd1 0.5000 0.5000 0.0000

(4)
# SrPm8Nd6

SrPm8Nd6 after structural relaxation (PBE, the Alexandria database).

As for the density of states at the Fermi level: 20.184 states/eV per cell. The value obtained for the volume is 35.49 A^3/atom. As for the energy of formation from the pure elements: 17 kJ/mol of atoms. As for the calculated total energy: -4.37 eV/atom. As for the total moment: 0.0 μB per formula unit.

Cell lengths 8.4527, 8.4527, 8.4527 Å; angles 72.21, 72.21, 72.21 degrees
Atoms (fractional coordinates):
Nd1 0.6191 0.1706 0.4293
Nd2 0.8294 0.5707 0.3809
Nd3 0.5707 0.3809 0.8294
Nd4 0.4293 0.6191 0.1706
Nd5 0.3809 0.8294 0.5707
Nd6 0.1706 0.4293 0.6191
Pm1 0.2326 0.2326 0.2326
Pm2 0.7674 0.7674 0.7674
Pm3 0.9451 0.1411 0.6137
Pm4 0.3863 0.0549 0.8589
Pm5 0.8589 0.3863 0.0549
Pm6 0.1411 0.6137 0.9451
Pm7 0.6137 0.9451 0.1411
Pm8 0.0549 0.8589 0.3863
Sr1 0.0000 0.0000 0.0000

(5)
# SrPmNd2

SrPmNd2 after structural relaxation (PBE, the Alexandria database).

As for the density of states at the Fermi level: 5.899 states/eV per cell. The value obtained for the volume is 38.50 A^3/atom. As for the energy of formation from the pure elements: 8 kJ/mol of atoms. The calculation puts the energy above the most stable polymorph in this dataset at 0.0 meV per atom. As for the calculated total energy: -3.91 eV/atom. As for the total moment: 0.0 μB per formula unit.

Cell lengths 3.7605, 3.7605, 10.8906 Å; angles 90.00, 90.00, 90.00 degrees
Atoms (fractional coordinates):
Sr1 0.5000 0.5000 0.5000
Nd1 0.0000 0.0000 0.7751
Nd2 0.0000 0.0000 0.2249
Pm1 0.5000 0.5000 0.0000

(6)
# Sr3Pm2NdTe6

Sr3Pm2NdTe6 after structural relaxation (PBE, the Alexandria database).

As for the density of states at the Fermi level: 5.386 states/eV per cell. The value obtained for the volume is 34.28 A^3/atom. As for the energy relative to the elements, uncorrected: -1550 meV/atom. As for the calculated total energy: -4.73 eV/atom. As for the total moment: 0.0 μB per formula unit.

Cell lengths 4.5505, 9.2752, 10.3429 Å; angles 104.61, 102.71, 90.00 degrees
Atoms (fractional coordinates):
Te1 0.6696 0.5762 0.3393
Te2 0.0024 0.2458 0.0047
Te3 0.3350 0.9108 0.6701
Te4 0.3304 0.4238 0.6607
Te5 0.6650 0.0892 0.3299
Te6 0.9976 0.7542 0.9953
Nd1 0.5000 0.0000 0.0000
Pm1 0.8342 0.6687 0.6684
Pm2 0.1658 0.3313 0.3316
Sr1 0.5000 0.5000 0.0000
Sr2 0.1663 0.8326 0.3327
Sr3 0.8337 0.1674 0.6673

(7)
# SrPm2Nd3Te6

SrPm2Nd3Te6 after structural relaxation (PBE, the Alexandria database).

As for the density of states at the Fermi level: 5.839 states/eV per cell. The value obtained for the volume is 32.72 A^3/atom. As for the energy relative to the elements, uncorrected: -1458 meV/atom. As for the calculated total energy: -5.15 eV/atom. As for the total moment: 0.0 μB per formula unit.

Cell lengths 4.5112, 9.0835, 10.1146 Å; angles 103.30, 102.89, 90.00 degrees
Atoms (fractional coordinates):
Te1 0.9968 0.7447 0.9936
Te2 0.3348 0.4203 0.6696
Te3 0.6652 0.5797 0.3304
Te4 0.0032 0.2553 0.0064
Te5 0.3306 0.9160 0.6613
Te6 0.6694 0.0840 0.3387
Sr1 0.5000 0.0000 0.0000
Pm1 0.1711 0.3431 0.3422
Pm2 0.8289 0.6569 0.6578
Nd1 0.5000 0.5000 0.0000
Nd2 0.8353 0.1788 0.6705
Nd3 0.1647 0.8212 0.3295

(8)
# Sr3PmNd2Te6

Sr3PmNd2Te6 after structural relaxation (PBE, the Alexandria database).

As for the density of states at the Fermi level: 5.388 states/eV per cell. The value obtained for the volume is 34.41 A^3/atom. As for the energy relative to the elements, uncorrected: -1553 meV/atom. As for the calculated total energy: -4.73 eV/atom. As for the total moment: 0.0 μB per formula unit.

Cell lengths 4.5567, 9.2855, 10.3551 Å; angles 104.61, 102.71, 90.00 degrees
Atoms (fractional coordinates):
Te1 0.3362 0.9120 0.6724
Te2 0.3316 0.4211 0.6632
Te3 0.9981 0.7569 0.9961
Te4 0.6684 0.5789 0.3368
Te5 0.6638 0.0880 0.3276
Te6 0.0019 0.2431 0.0039
Pm1 0.5000 0.0000 0.0000
Nd1 0.1671 0.3345 0.3343
Nd2 0.8329 0.6655 0.6657
Sr1 0.5000 0.5000 0.0000
Sr2 0.1671 0.8337 0.3342
Sr3 0.8329 0.1663 0.6658

(9)
# SrPmNdTl

SrPmNdTl after structural relaxation (PBE, the Alexandria database).

As for the density of states at the Fermi level: 6.048 states/eV per cell. The value obtained for the volume is 34.15 A^3/atom. As for the energy of formation from the pure elements: 5 kJ/mol of atoms. As for the calculated total energy: -3.34 eV/atom. As for the total moment: 0.7 μB per formula unit.

Cell lengths 5.7807, 5.7807, 5.7807 Å; angles 60.00, 60.00, 60.00 degrees
Atoms (fractional coordinates):
Nd1 0.0000 0.0000 0.0000
Tl1 0.7500 0.7500 0.7500
Pm1 0.2500 0.2500 0.2500
Sr1 0.5000 0.5000 0.5000

(10)
# SrPmNdY

SrPmNdY after structural relaxation (PBE, the Alexandria database).

As for the density of states at the Fermi level: 8.334 states/eV per cell. The value obtained for the volume is 37.42 A^3/atom. As for the energy of formation from the pure elements: 22 kJ/mol of atoms. As for the calculated total energy: -4.19 eV/atom. As for the total moment: 1.0 μB per formula unit.

Cell lengths 5.9600, 5.9600, 5.9600 Å; angles 60.00, 60.00, 60.00 degrees
Atoms (fractional coordinates):
Pm1 0.5000 0.5000 0.5000
Sr1 0.0000 0.0000 0.0000
Nd1 0.2500 0.2500 0.2500
Y1 0.7500 0.7500 0.7500

(11)
# PmNd2Ta

PmNd2Ta after structural relaxation (PBE, the Alexandria database).

As for the density of states at the Fermi level: 6.946 states/eV per cell. The value obtained for the volume is 29.13 A^3/atom. As for the energy of formation from the pure elements: 65 kJ/mol of atoms. As for the calculated total energy: -5.86 eV/atom. As for the total moment: 0.0 μB per formula unit.

Cell lengths 3.3213, 3.3213, 12.3474 Å; angles 82.27, 82.27, 60.00 degrees
Atoms (fractional coordinates):
Ta1 0.0000 0.0000 0.0000
Nd1 0.9195 0.9195 0.2414
Nd2 0.0805 0.0805 0.7586
Pm1 0.5000 0.5000 0.5000

(12)
# Tb12PmNd2

Tb12PmNd2 after structural relaxation (PBE, the Alexandria database).

As for the density of states at the Fermi level: 43.935 states/eV per cell. The value obtained for the volume is 32.93 A^3/atom. As for the energy of formation from the pure elements: 10 kJ/mol of atoms. As for the calculated total energy: -4.55 eV/atom. As for the total moment: 0.0 μB per formula unit.

Cell lengths 6.6751, 6.6751, 25.1299 Å; angles 96.53, 83.47, 64.55 degrees
Atoms (fractional coordinates):
Tb1 0.0028 0.9977 0.3307
Tb2 0.5551 0.4448 0.9262
Tb3 0.1682 0.8332 0.4450
Tb4 0.3987 0.1013 0.1363
Tb5 0.3318 0.6668 0.5550
Tb6 0.0552 0.9449 0.9262
Tb7 0.3206 0.1794 0.5718
Tb8 0.8186 0.6814 0.5725
Tb9 0.8995 0.1005 0.7992
Tb10 0.3995 0.6005 0.7992
Tb11 0.6814 0.8186 0.4275
Tb12 0.1794 0.3206 0.4282
Tb13 0.1005 0.8995 0.2008
Tb14 0.6005 0.3995 0.2008
Tb15 0.6668 0.3318 0.4450
Tb16 0.4972 0.5023 0.6693
Tb17 0.5023 0.4972 0.3307
Tb18 0.6014 0.8986 0.8637
Tb19 0.8332 0.1682 0.5550
Tb20 0.9977 0.0028 0.6693
Tb21 0.8986 0.6014 0.1363
Tb22 0.9449 0.0552 0.0738
Tb23 0.1013 0.3987 0.8637
Tb24 0.4448 0.5551 0.0738
Nd1 0.0461 0.4539 0.2729
Nd2 0.5466 0.9534 0.2732
Nd3 0.9534 0.5466 0.7268
Nd4 0.4539 0.0461 0.7271
Pm1 0.0000 0.5000 0.0000
Pm2 0.5000 0.0000 0.0000